# 1
Here is a relaxed NbI3F crystal from Alexandria. Energies are from PBE.

a b c (Å): 5.4838 5.4838 5.4838
angles (deg): 90.00 90.00 90.00
Each line ends with the local moment (μB).
Fractional coordinates of all 5 atoms:
I  0.0000  0.5000  0.0000  0.00
I  0.0000  0.0000  0.5000  0.00
I  0.5000  0.0000  0.0000  -0.01
Nb  0.0000  0.0000  0.0000  0.04
F  0.5000  0.5000  0.5000  -0.07

E (eV/atom): -3.5402
Total moment (μB/f.u.): 0.043
Relative energy among the computed polymorphs (meV per atom): 0

---

# 2
Here is a relaxed NbI2F crystal from Alexandria. Energies are from PBE.

a b c (Å): 4.9479 4.9479 4.9479
angles (deg): 60.00 60.00 60.00
Each line ends with the local moment (μB).
Fractional coordinates of all 4 atoms:
I  0.2500  0.2500  0.2500  -0.09
I  0.7500  0.7500  0.7500  -0.09
Nb  0.5000  0.5000  0.5000  1.76
F  0.0000  0.0000  0.0000  0.04

E (eV/atom): -4.1950
Total moment (μB/f.u.): 2.000
Relative energy among the computed polymorphs (meV per atom): 688

---

# 3
Here is a relaxed Nb2IF crystal from Alexandria. Energies are from PBE.

a b c (Å): 4.6154 4.6154 4.6154
angles (deg): 60.00 60.00 60.00
Each line ends with the local moment (μB).
Fractional coordinates of all 4 atoms:
I  0.5000  0.5000  0.5000  0.03
Nb  0.2500  0.2500  0.2500  0.59
Nb  0.7500  0.7500  0.7500  0.59
F  0.0000  0.0000  0.0000  0.02

E (eV/atom): -5.7354
Total moment (μB/f.u.): 1.467
Relative energy among the computed polymorphs (meV per atom): 210

---

# 4
Here is a relaxed NbIOF2 crystal from Alexandria. Energies are from PBE.

a b c (Å): 4.4233 4.4233 3.9710
angles (deg): 90.00 90.00 90.00
Fractional coordinates of all 5 atoms:
I  0.5000  0.5000  0.5000
Nb  0.0000  0.0000  0.0000
O  0.0000  0.0000  0.5000
F  0.0000  0.5000  0.0000
F  0.5000  0.0000  0.0000

E (eV/atom): -5.6416
Total moment (μB/f.u.): 0.000
Relative energy among the computed polymorphs (meV per atom): 0

---

# 5
Here is a relaxed NbIO2F crystal from Alexandria. Energies are from PBE.

a b c (Å): 3.9118 3.9118 5.7848
angles (deg): 90.00 90.00 90.00
Each line ends with the local moment (μB).
Fractional coordinates of all 5 atoms:
I  0.0000  0.0000  0.5000  0.16
Nb  0.0000  0.0000  0.0000  -0.02
O  0.0000  0.5000  0.0000  0.01
O  0.5000  0.0000  0.0000  0.01
F  0.5000  0.5000  0.5000  0.15

E (eV/atom): -6.1467
Total moment (μB/f.u.): 0.378

---

# 6
Here is a relaxed NbIO2F crystal from Alexandria. Energies are from PBE.

a b c (Å): 4.3273 4.3273 3.9758
angles (deg): 90.00 90.00 90.00
Each line ends with the local moment (μB).
Fractional coordinates of all 5 atoms:
I  0.0000  0.0000  0.5000  -0.05
Nb  0.5000  0.5000  0.5000  1.65
O  0.0000  0.5000  0.0000  0.29
O  0.5000  0.0000  0.0000  0.29
F  0.0000  0.0000  0.0000  0.14

E (eV/atom): -3.9983
Total moment (μB/f.u.): 2.677

---

# 7
Here is a relaxed NbIOF2 crystal from Alexandria. Energies are from PBE.

a b c (Å): 5.0046 5.0046 4.0067
angles (deg): 90.00 90.00 90.00
Each line ends with the local moment (μB).
Fractional coordinates of all 5 atoms:
I  0.0000  0.0000  0.0000  -0.10
Nb  0.5000  0.5000  0.5000  2.95
O  0.0000  0.0000  0.5000  0.01
F  0.0000  0.5000  0.0000  -0.01
F  0.5000  0.0000  0.0000  -0.01

E (eV/atom): -3.8347
Total moment (μB/f.u.): 3.510
Relative energy among the computed polymorphs (meV per atom): 1807

---

# 8
Here is a relaxed NbIO2F crystal from Alexandria. Energies are from PBE.

a b c (Å): 4.0278 4.0278 5.7819
angles (deg): 90.00 90.00 90.00
Each line ends with the local moment (μB).
Fractional coordinates of all 5 atoms:
I  0.0000  0.0000  0.0000  -0.03
Nb  0.5000  0.5000  0.5000  2.85
O  0.0000  0.5000  0.0000  0.01
O  0.5000  0.0000  0.0000  0.01
F  0.0000  0.0000  0.5000  0.01

E (eV/atom): -4.3866
Total moment (μB/f.u.): 3.492

---

# 9
Here is a relaxed NbI2OF crystal from Alexandria. Energies are from PBE.

a b c (Å): 5.2293 5.2293 3.5471
angles (deg): 90.00 90.00 90.00
Fractional coordinates of all 5 atoms:
I  0.0000  0.5000  0.0000
I  0.5000  0.0000  0.0000
Nb  0.5000  0.5000  0.5000
O  0.0000  0.0000  0.5000
F  0.0000  0.0000  0.0000

E (eV/atom): -3.2596
Total moment (μB/f.u.): 0.001
Relative energy among the computed polymorphs (meV per atom): 1661

---

# 10
Here is a relaxed NbIO2F crystal from Alexandria. Energies are from PBE.

a b c (Å): 4.0775 4.0775 4.4843
angles (deg): 90.00 90.00 90.00
Each line ends with the local moment (μB).
Fractional coordinates of all 5 atoms:
I  0.5000  0.5000  0.5000  0.67
Nb  0.0000  0.0000  0.0000  -0.12
O  0.0000  0.5000  0.0000  0.13
O  0.5000  0.0000  0.0000  0.13
F  0.0000  0.0000  0.5000  0.04

E (eV/atom): -6.0848
Total moment (μB/f.u.): 1.143

---

# 11
Here is a relaxed NbI2OF crystal from Alexandria. Energies are from PBE.

a b c (Å): 5.5234 5.5234 3.8849
angles (deg): 90.00 90.00 90.00
Fractional coordinates of all 5 atoms:
I  0.0000  0.5000  0.0000
I  0.5000  0.0000  0.0000
Nb  0.0000  0.0000  0.0000
O  0.0000  0.0000  0.5000
F  0.5000  0.5000  0.5000

E (eV/atom): -4.9202
Total moment (μB/f.u.): 0.000
Relative energy among the computed polymorphs (meV per atom): 0

---

# 12
Here is a relaxed Rb2NbI6F crystal from Alexandria. Energies are from PBE.

a b c (Å): 8.1891 8.1891 8.1777
angles (deg): 59.95 59.95 90.00
Fractional coordinates of all 10 atoms:
I  0.2430  0.2430  0.5141
I  0.7570  0.7570  0.4859
I  0.2424  0.2424  0.0000
I  0.7576  0.7576  0.0000
I  0.7576  0.2424  0.0000
I  0.2424  0.7576  0.0000
Nb  0.0000  0.0000  0.0000
Rb  0.7500  0.2500  0.5000
Rb  0.2500  0.7500  0.5000
F  0.5000  0.5000  0.0000

E (eV/atom): -3.2309
Total moment (μB/f.u.): 0.000

---

no.,raw formation energy (meV per atom)
1,-222.0
2,-434.7
3,154.8
4,-1577.5
5,-1465.2
6,683.2
7,229.4
8,294.9
9,740.3
10,-1403.3
11,-920.3
12,-913.2